A plane-wave DFT calculation with PBE was carried out for an optimized crystal structure of HfTiSn.

Structure (POSCAR):
```
HfTiSn
1.0
3.120 0.000 0.000
0.000 4.792 0.000
0.000 -2.396 4.150
Hf Ti Sn
1 1 1
Direct
0.993 0.000 0.000
0.625 0.333 0.667
0.382 0.667 0.333
```

Results
ρ = 9.2 g/cm3
crystal system = trigonal
formation enthalpy at 0 K = -59.2 meV per atom

=====

A plane-wave DFT calculation with PBE was carried out for an optimized crystal structure of Pr8Rh2Pb.

Structure (POSCAR):
```
Pr8Rh2Pb
1.0
-4.421 2.683 -2.388
-1.073 -7.384 -3.709
-2.588 0.459 7.907
Pr Rh Pb
8 2 1
Direct
0.805 0.606 0.606
0.000 0.252 0.755
0.194 0.400 0.400
0.560 0.083 0.333
0.440 0.673 0.923
0.560 0.333 0.083
0.000 0.755 0.252
0.440 0.923 0.673
0.500 0.297 0.709
0.500 0.709 0.297
0.000 0.003 0.003
```

Results
ρ = 7.4 g/cm3
crystal system = monoclinic
formation enthalpy at 0 K = -310.3 meV per atom

=====

A plane-wave DFT calculation with PBE was carried out for an optimized crystal structure of RbTaGeTe.

Structure (POSCAR):
```
RbTaGeTe
1.0
-2.358 -2.937 -1.534
0.040 -2.034 3.834
-10.106 10.720 5.793
Ta Te Rb Ge
2 2 2 2
Direct
0.764 0.000 0.668
0.764 0.500 0.168
0.146 0.000 0.551
0.146 0.500 0.051
0.495 0.000 0.899
0.495 0.500 0.399
0.845 0.500 0.749
0.845 0.000 0.249
```

Results
ρ = 5.7 g/cm3
crystal system = orthorhombic
ΔE_f (raw) = 87 meV per atom
E above lowest polymorph = 0.89 eV/f.u.

=====

A plane-wave DFT calculation with PBE was carried out for an optimized crystal structure of CoAgHg2.

Structure (POSCAR):
```
CoAgHg2
1.0
-3.573 -2.182 8.893
-6.088 -2.570 7.276
-4.095 -4.818 7.526
Co Hg Ag
1 2 1
Direct
0.753 0.753 0.753
0.012 0.012 0.012
0.244 0.244 0.244
0.491 0.491 0.491
```

Results
ρ = 12.4 g/cm3
crystal system = trigonal
formation enthalpy at 0 K = 383.1 meV per atom
E above lowest polymorph = 0.23 eV/f.u.

=====

A plane-wave DFT calculation with PBE was carried out for an optimized crystal structure of AcSiCl.

Structure (POSCAR):
```
AcSiCl
1.0
4.152 -0.078 -0.134
2.165 3.515 0.697
0.357 2.106 12.913
Ac Cl Si
2 2 2
Direct
0.495 0.871 0.010
0.435 0.012 0.412
0.871 0.146 0.566
0.722 0.408 0.859
0.956 0.960 0.200
0.658 0.556 0.253
```

Results
ρ = 5.2 g/cm3
crystal system = triclinic
ΔE_f (raw) = -1210 meV per atom
E above lowest polymorph = 0.59 eV/f.u.

=====

A plane-wave DFT calculation with PBE was carried out for an optimized crystal structure of Ce2Cd2Bi.

Structure (POSCAR):
```
Ce2Cd2Bi
1.0
-0.085 -3.969 1.576
4.266 -0.156 -0.163
-1.694 5.043 6.822
Cd Ce Bi
2 2 1
Direct
0.250 0.750 0.500
0.750 0.250 0.500
0.585 0.585 0.170
0.415 0.415 0.830
0.000 0.000 0.000
```

Results
ρ = 8.0 g/cm3
crystal system = tetragonal
formation enthalpy at 0 K = -223.6 meV per atom

=====

A plane-wave DFT calculation with PBE was carried out for an optimized crystal structure of NaCdCl3.

Structure (POSCAR):
```
NaCdCl3
1.0
-0.559 -2.317 6.403
8.836 -0.987 1.028
1.759 7.979 3.654
Cd Cl Na
4 12 4
Direct
0.250 0.085 0.915
0.750 0.281 0.719
0.750 0.915 0.085
0.250 0.719 0.281
0.070 0.023 0.190
0.430 0.810 0.977
0.458 0.114 0.659
0.930 0.977 0.810
0.042 0.341 0.886
0.585 0.540 0.726
0.542 0.886 0.341
0.415 0.460 0.274
0.958 0.659 0.114
0.570 0.190 0.023
0.085 0.726 0.540
0.915 0.274 0.460
0.712 0.823 0.615
0.212 0.615 0.823
0.288 0.177 0.385
0.788 0.385 0.177
```

Results
ρ = 3.0 g/cm3
crystal system = monoclinic
ΔE_f (raw) = -1343 meV per atom

=====

A plane-wave DFT calculation with PBE was carried out for an optimized crystal structure of FeReSi2N.

Structure (POSCAR):
```
FeReSi2N
1.0
4.591 0.000 0.000
0.000 3.317 0.000
0.000 0.000 4.591
Re Si Fe N
1 2 1 1
Direct
0.500 0.500 0.500
0.500 0.000 0.000
0.000 0.000 0.500
0.000 0.000 0.000
0.000 0.500 0.000
```

Results
ρ = 7.4 g/cm3
crystal system = tetragonal
ΔE_f (raw) = 963 meV per atom